i:
Here is a geometry-optimized Ba2HgPb structure from the Alexandria database. Energies are from PBE-GGA.

Cell: 5.534 5.534 8.209 Å, 102.40 102.40 46.33°
Positions (direct):
Ba  0.248  0.248  0.244
Ba  0.752  0.752  0.756
Hg  0.000  0.000  0.500
Pb  0.500  0.500  0.000

Computed properties:
Total magnetic moment = 0.0 Bohr magnetons per cell
D(E_F) = 0.7373 states/eV per atom
Volume = 176.8 Å³/cell

---

ii:
Here is a geometry-optimized Ba2HgPb structure from the Alexandria database. Energies are from PBE-GGA.

Cell: 9.079 9.079 9.079 Å, 32.65 32.65 32.65°
Positions (direct):
Ba  0.000  0.000  0.000
Ba  0.176  0.176  0.176
Hg  0.733  0.733  0.733
Pb  0.433  0.433  0.433

Computed properties:
Total magnetic moment = 0.0 Bohr magnetons per cell
D(E_F) = 0.8642 states/eV per atom
Volume = 193.8 Å³/cell

---

iii:
Here is a geometry-optimized Ba2HgPb structure from the Alexandria database. Energies are from PBE-GGA.

Cell: 6.093 6.093 4.223 Å, 90.00 90.00 90.00°
Positions (direct):
Ba  0.000  0.500  0.000
Ba  0.500  0.000  0.000
Hg  0.000  0.000  0.500
Pb  0.500  0.500  0.500

Computed properties:
Total magnetic moment = 0.0 Bohr magnetons per cell
D(E_F) = 0.5488 states/eV per atom
Volume = 156.8 Å³/cell

---

iv:
Here is a geometry-optimized Ba2HgPb structure from the Alexandria database. Energies are from PBE-GGA.

Cell: 5.955 5.955 5.955 Å, 60.00 60.00 60.00°
Positions (direct):
Ba  0.000  0.000  0.000
Ba  0.250  0.250  0.250
Hg  0.500  0.500  0.500
Pb  0.750  0.750  0.750

Computed properties:
Total magnetic moment = 0.0 Bohr magnetons per cell
D(E_F) = 0.6062 states/eV per atom
Volume = 149.3 Å³/cell

---

Which of them is least stable? Easy: iv.